Version i
Computed, not measured: an optimized crystal structure of PmErSc4 at the PBE-GGA level of DFT.

Unit cell a=9.811 b=9.811 c=5.328 alpha=90.00 beta=90.00 gamma=141.03
Fractional coordinates of all 12 atoms:
Pm1 0.123 0.877 0.750
Pm2 0.877 0.123 0.250
Er1 0.374 0.626 0.250
Er2 0.626 0.374 0.750
Sc1 0.043 0.460 0.750
Sc2 0.213 0.296 0.750
Sc3 0.296 0.213 0.250
Sc4 0.460 0.043 0.250
Sc5 0.540 0.957 0.750
Sc6 0.704 0.787 0.750
Sc7 0.787 0.704 0.250
Sc8 0.957 0.540 0.250



Version ii
Computed, not measured: an optimized crystal structure of PmErSc4 at the PBE-GGA level of DFT.

Unit cell a=6.148 b=6.619 c=8.273 alpha=90.00 beta=103.57 gamma=90.00
Fractional coordinates of all 12 atoms:
Pm1 0.143 0.250 0.347
Pm2 0.857 0.750 0.653
Er1 0.277 0.750 0.995
Er2 0.723 0.250 0.005
Sc1 0.120 0.750 0.358
Sc2 0.233 0.250 0.981
Sc3 0.402 0.003 0.688
Sc4 0.402 0.497 0.688
Sc5 0.598 0.503 0.312
Sc6 0.598 0.997 0.312
Sc7 0.767 0.750 0.019
Sc8 0.880 0.250 0.642



Most stable one: version i, least stable one: version ii.



Version i
Computed, not measured: an optimized crystal structure of Pm5Er2Sc at the PBE-GGA level of DFT.

Unit cell a=8.958 b=8.958 c=8.958 alpha=118.74 beta=118.74 gamma=92.21
Fractional coordinates of all 16 atoms:
Pm1 0.000 0.000 0.000
Pm2 0.014 0.514 0.196
Pm3 0.183 0.986 0.500
Pm4 0.317 0.817 0.804
Pm5 0.486 0.683 0.500
Pm6 0.500 0.500 0.000
Pm7 0.514 0.317 0.500
Pm8 0.683 0.183 0.196
Pm9 0.817 0.014 0.500
Pm10 0.986 0.486 0.804
Er1 0.144 0.356 0.500
Er2 0.356 0.856 0.213
Er3 0.644 0.144 0.787
Er4 0.856 0.644 0.500
Sc1 0.250 0.250 0.000
Sc2 0.750 0.750 0.000



Version ii
Computed, not measured: an optimized crystal structure of Pm5Er2Sc at the PBE-GGA level of DFT.

Unit cell a=9.486 b=9.486 c=6.710 alpha=101.24 beta=101.24 gamma=62.90
Fractional coordinates of all 16 atoms:
Pm1 0.064 0.936 0.750
Pm2 0.132 0.288 0.056
Pm3 0.288 0.132 0.556
Pm4 0.302 0.506 0.842
Pm5 0.494 0.698 0.658
Pm6 0.506 0.302 0.342
Pm7 0.698 0.494 0.158
Pm8 0.712 0.868 0.444
Pm9 0.868 0.712 0.944
Pm10 0.936 0.064 0.250
Er1 0.167 0.655 0.338
Er2 0.345 0.833 0.162
Er3 0.655 0.167 0.838
Er4 0.833 0.345 0.662
Sc1 0.000 0.500 0.500
Sc2 0.500 0.000 0.000



Most stable one: version i, least stable one: version ii.